MnIn2O3 | GGA+U | relaxed

```
MnIn2O3
1.0
14.0902 0.0000 0.0000
0.0000 4.5407 0.0000
-0.5651 0.0000 2.9545
Mn In O
2 4 6
Direct
0.0000 0.0000 0.0000
0.5000 0.5000 0.0000
0.1370 0.5000 0.6199
0.3630 0.0000 0.3801
0.6370 0.0000 0.6199
0.8630 0.5000 0.3801
0.0000 0.5000 0.0000
0.0940 0.0000 0.5827
0.4060 0.5000 0.4173
0.5000 0.0000 0.0000
0.5940 0.5000 0.5827
0.9060 0.0000 0.4173
```

Total magnetization, μB/cell: 8.038
Space group: C2/m (12)
Raw total energy, eV/atom: -5.7435